DFT (PBE-GGA) results for a relaxed structure of KPrTcN3.

As for the uncorrected formation energy: -0.388 eV per atom. Its symmetry is C2/m, No. 12.

Unit cell a=3.952 b=7.211 c=7.859 alpha=104.96 beta=90.00 gamma=105.90
Fractional positions:
1 N 0.846 0.691 0.630
2 N 0.154 0.309 0.370
3 N 0.490 0.979 0.672
4 N 0.870 0.739 0.206
5 N 0.130 0.261 0.794
6 N 0.510 0.021 0.328
7 Tc 0.996 0.992 0.671
8 Tc 0.004 0.008 0.329
9 K 0.638 0.275 0.070
10 K 0.362 0.725 0.930
11 Pr 0.662 0.323 0.587
12 Pr 0.338 0.677 0.413

***

DFT (PBE-GGA) results for a relaxed structure of Mg2InTc.

Its symmetry is P2/m, No. 10. As for the formation energy: 0.184 eV/atom.

Unit cell a=4.531 b=2.904 c=5.878 alpha=74.08 beta=90.00 gamma=90.00
Fractional positions:
1 Mg 0.000 0.491 0.476
2 Mg 0.000 0.009 0.024
3 In 0.500 0.750 0.750
4 Tc 0.500 0.250 0.250

***

DFT (PBE-GGA) results for a relaxed structure of YMo.

The value obtained for the relative energy among the computed polymorphs is 1802 meV per atom. Its symmetry is P6_3/mmc, No. 194. As for the formation energy: 1.938 eV/atom.

Unit cell a=5.066 b=5.066 c=5.705 alpha=90.00 beta=90.00 gamma=120.00
Fractional positions:
1 Y 0.333 0.667 0.250
2 Y 0.667 0.333 0.750
3 Mo 0.667 0.333 0.250
4 Mo 0.333 0.667 0.750

***

DFT (PBE-GGA) results for a relaxed structure of Nd3Ag2Os.

Its symmetry is Cmmm, No. 65. As for the formation energy: -0.177 eV/atom.

Unit cell a=5.147 b=8.067 c=7.596 alpha=90.00 beta=90.00 gamma=71.44
Fractional positions:
1 Nd 0.500 0.000 0.231
2 Nd 0.173 0.653 0.227
3 Nd 0.500 0.000 0.769
4 Nd 0.827 0.347 0.227
5 Nd 0.827 0.347 0.773
6 Nd 0.173 0.653 0.773
7 Ag 0.335 0.330 0.500
8 Ag 0.665 0.670 0.500
9 Ag 0.000 0.000 0.500
10 Ag 0.000 0.000 0.000
11 Os 0.336 0.327 0.000
12 Os 0.664 0.673 0.000

***

DFT (PBE-GGA) results for a relaxed structure of ReBiBRh.

The value obtained for the relative energy among the computed polymorphs is 36 meV per atom. Its symmetry is P4mm, No. 99. As for the formation energy: 0.197 eV/atom.

Unit cell a=3.111 b=3.111 c=6.620 alpha=90.00 beta=90.00 gamma=90.00
Fractional positions:
1 Rh 0.000 0.000 0.814
2 Re 0.500 0.500 0.103
3 B 0.000 0.000 0.141
4 Bi 0.500 0.500 0.540

***

DFT (PBE-GGA) results for a relaxed structure of K2LaRu.

The value obtained for the relative energy among the computed polymorphs is 756 meV per atom. Its symmetry is P4/mmm, No. 123. As for the formation energy: 0.981 eV/atom.

Unit cell a=5.093 b=5.093 c=5.436 alpha=90.00 beta=90.00 gamma=90.00
Fractional positions:
1 K 0.000 0.000 0.992
2 K 0.000 0.000 0.508
3 La 0.500 0.500 0.250
4 Ru 0.500 0.500 0.750

***

DFT (PBE-GGA) results for a relaxed structure of Er2AlPt.

The value obtained for the relative energy among the computed polymorphs is 29 meV per atom. Its symmetry is P4/mmm, No. 123. As for the formation energy: -0.836 eV/atom.

Unit cell a=3.549 b=3.549 c=6.905 alpha=90.00 beta=90.00 gamma=90.00
Fractional positions:
1 Pt 0.500 0.500 0.000
2 Er 0.000 0.000 0.763
3 Er 0.000 0.000 0.237
4 Al 0.500 0.500 0.500

***

DFT (PBE-GGA) results for a relaxed structure of Sr2Ga3Sn4.

Its symmetry is Cmce, No. 64. As for the formation energy: -0.344 eV/atom.

Unit cell a=6.531 b=8.789 c=8.974 alpha=90.00 beta=111.34 gamma=90.00
Fractional positions:
1 Sn 0.816 0.037 0.633
2 Sn 0.193 0.750 0.887
3 Sn 0.307 0.250 0.113
4 Sn 0.316 0.463 0.633
5 Sn 0.684 0.537 0.367
6 Sn 0.184 0.963 0.367
7 Sn 0.693 0.750 0.887
8 Sn 0.807 0.250 0.113
9 Sr 0.386 0.087 0.771
10 Sr 0.614 0.913 0.229
11 Sr 0.114 0.587 0.229
12 Sr 0.886 0.413 0.771
13 Ga 0.475 0.250 0.449
14 Ga 0.975 0.250 0.449
15 Ga 0.525 0.750 0.551
16 Ga 0.000 0.000 0.000
17 Ga 0.500 0.500 0.000
18 Ga 0.025 0.750 0.551

***

| no. | total energy (eV per atom) | V (Å³/cell) |
| --- | --- | --- |
| 1 | -7.258 | 207 |
| 2 | -3.890 | 74 |
| 3 | -6.710 | 127 |
| 4 | -5.383 | 299 |
| 5 | -7.393 | 64 |
| 6 | -3.119 | 141 |
| 7 | -5.563 | 87 |
| 8 | -3.506 | 480 |